Record 1
First-principles (PBE) data for GaNi5Pt2 after structural relaxation, as listed in Alexandria.

Computed properties:
Total moment: 11.30 μB/cell
Calculated volume: 12.90 Å³/atom
ΔH_f (0 K): -0.090 eV/atom

a b c (Å): 4.0333 8.8510 11.5617
angles (deg): 90.00 90.00 90.00
Last column: nearest neighbours and their distance in Å.
Space group Cmcm (No. 63)
Inequivalent atoms, fractional coordinates:
Ga  0.0000  0.0456  0.2500 [4 per cell]  3 Ni 2.35-2.48
Ni  0.0000  0.1176  0.5514 [8 per cell]  5 Ni 2.40-2.51, 2 Pt 2.67
Ni  0.0000  0.2197  0.7500 [4 per cell]  1 Ga 2.35, 6 Ni 2.46-2.47, 2 Pt 2.49
Ni  0.0000  0.2760  0.1286 [8 per cell]  5 Ni 2.40-2.51, 1 Ga 2.48, 2 Pt 2.68
Pt  0.0000  0.4190  0.5975 [8 per cell]  9 Ni 2.49-2.73, 1 Pt 2.67, 2 Ga 2.70

Record 2
First-principles (PBE) data for Ga4Ni3Pt after structural relaxation, as listed in Alexandria.

Computed properties:
Total moment: 0.00 μB/cell
Calculated volume: 13.50 Å³/atom
ΔH_f (0 K): -0.466 eV/atom

a b c (Å): 6.7174 6.7174 8.2894
angles (deg): 90.00 90.00 120.00
Last column: nearest neighbours and their distance in Å.
Space group R3 (No. 146, hexagonal axes)
Inequivalent atoms, fractional coordinates:
Ga  0.0000  0.0000  0.0000 [3 per cell]  6 Ni 2.44-2.66, 1 Pt 2.53
Ga  0.1041  0.7003  0.2252 [9 per cell]  5 Ni 2.43-2.65, 2 Pt 2.53-2.68
Ni  0.0230  0.2608  0.7857 [9 per cell]  7 Ga 2.43-2.66
Pt  0.0000  0.0000  0.3052 [3 per cell]  7 Ga 2.53-2.68

Record 3
First-principles (PBE) data for GaNi2Pt6 after structural relaxation, as listed in Alexandria.

Computed properties:
Total moment: 3.19 μB/cell
Calculated volume: 14.57 Å³/atom
ΔH_f (0 K): -0.233 eV/atom

a b c (Å): 8.5292 3.9185 8.1462
angles (deg): 90.00 105.58 90.00
Last column: nearest neighbours and their distance in Å.
Space group C2/m (No. 12)
Inequivalent atoms, fractional coordinates:
Ga  0.0000  0.0000  0.0000 [2 per cell]  8 Pt 2.60-2.78, 4 Ni 2.84
Ni  0.1752  0.5000  0.2285 [4 per cell]  10 Pt 2.67-2.78, 2 Ga 2.84
Pt  0.0036  0.0000  0.3198 [4 per cell]  1 Ga 2.60, 3 Ni 2.67-2.70, 7 Pt 2.74-2.82
Pt  0.1618  0.5000  0.8970 [4 per cell]  3 Ga 2.66-2.78, 4 Ni 2.67-2.78, 5 Pt 2.75-2.80
Pt  0.1649  0.5000  0.5546 [4 per cell]  3 Ni 2.68-2.74, 9 Pt 2.71-2.82

Record 4
First-principles (PBE) data for GaNi2Pt3 after structural relaxation, as listed in Alexandria.

Computed properties:
Total moment: 1.51 μB/cell
Calculated volume: 14.08 Å³/atom
ΔH_f (0 K): -0.245 eV/atom

a b c (Å): 4.5274 8.2072 4.5461
angles (deg): 90.00 90.00 90.00
Last column: nearest neighbours and their distance in Å.
Space group Pmmn (No. 59, origin choice 2)
Inequivalent atoms, fractional coordinates:
Ga  0.2500  0.2500  0.0928 [2 per cell]  6 Pt 2.60-2.73, 6 Ni 2.73-2.79
Ni  0.2500  0.5820  0.1011 [4 per cell]  6 Pt 2.60-2.68, 3 Ga 2.73-2.79, 3 Ni 2.76-2.79
Pt  0.2500  0.0806  0.6092 [4 per cell]  2 Ga 2.60-2.73, 4 Ni 2.60-2.67, 6 Pt 2.71-2.83
Pt  0.2500  0.7500  0.6060 [2 per cell]  4 Ni 2.64-2.68, 2 Ga 2.65, 6 Pt 2.71-2.83

Record 5
First-principles (PBE) data for GaNi5Pt8 after structural relaxation, as listed in Alexandria.

Computed properties:
Total moment: 10.67 μB/cell
Calculated volume: 14.75 Å³/atom
ΔH_f (0 K): 0.024 eV/atom

a b c (Å): 7.3344 7.3344 7.6782
angles (deg): 90.00 90.00 90.00
Last column: nearest neighbours and their distance in Å.
Space group I-4 (No. 82)
Inequivalent atoms, fractional coordinates:
Ga  0.0000  0.0000  0.0000 [2 per cell]  4 Pt 2.45
Ni  0.0000  0.5000  0.7500 [2 per cell]  8 Pt 2.45-2.58
Ni  0.1144  0.7052  0.3291 [8 per cell]  8 Pt 2.52-2.70, 2 Ni 2.72
Pt  0.0690  0.8304  0.6575 [8 per cell]  5 Ni 2.58-2.70, 4 Pt 2.69-2.87
Pt  0.0960  0.6802  0.0019 [8 per cell]  5 Ni 2.45-2.64, 1 Ga 2.45, 1 Pt 2.73

Record 6
First-principles (PBE) data for Ga4Ni2Pt after structural relaxation, as listed in Alexandria.

Computed properties:
Total moment: 0.00 μB/cell
Calculated volume: 15.89 Å³/atom
ΔH_f (0 K): -0.266 eV/atom

a b c (Å): 5.1589 6.5687 6.7466
angles (deg): 90.00 103.32 90.00
Last column: nearest neighbours and their distance in Å.
Space group P2_1/m (No. 11)
Inequivalent atoms, fractional coordinates:
Ga  0.1033  0.2500  0.0071 [2 per cell]  2 Ni 2.34-2.47, 1 Pt 2.50, 2 Ga 2.57-2.59
Ga  0.2757  0.0507  0.5887 [4 per cell]  4 Ni 2.43-2.63, 1 Ga 2.62, 1 Pt 2.67
Ga  0.3948  0.7500  0.9940 [2 per cell]  2 Ni 2.35-2.49, 1 Pt 2.48, 2 Ga 2.57-2.59
Ni  0.0463  0.7500  0.6708 [2 per cell]  6 Ga 2.43-2.49, 2 Ni 2.57-2.60
Ni  0.4425  0.2500  0.3038 [2 per cell]  4 Ga 2.34-2.46, 2 Ni 2.57-2.60
Pt  0.2458  0.7500  0.3180 [2 per cell]  6 Ga 2.48-2.74, 1 Ni 2.68